(1)
Below is Tb3Ge6Pd2Rh after structural relaxation, with properties calculated at the PBE level.

The calculation puts the theoretical density at 8.5 g cm⁻³. The total energy comes out at -5.44 eV per atom. The energy relative to the elements comes out at -494 meV per atom. The value obtained for the total magnetization is 0.00 μB per cell. The value obtained for the density of states at the Fermi level is 0.412 states/eV per atom.

The structure belongs to space group P-3m1 (No. 164); the cell edges are 5.8779, 5.8779 and 7.9872 Å and the angles 90.00°, 90.00° and 120.00°. The distinct sites, in fractional coordinates, are Tb at (0.0000, 0.0000, 0.0000), Tb at (0.3333, 0.6667, 0.6115), Ge at (0.1845, 0.3691, 0.2815), Pd at (0.3333, 0.6667, 0.0108) and Rh at (0.0000, 0.0000, 0.5000).


(2)
Below is LiMgHgAu after structural relaxation, with properties calculated at the PBE level.

The calculation puts the theoretical density at 9.8 g cm⁻³. The total energy comes out at -2.21 eV per atom. The energy relative to the elements comes out at -439 meV per atom. The value obtained for the total magnetization is 0.00 μB per cell. The value obtained for the density of states at the Fermi level is 0.367 states/eV per atom.

The structure belongs to space group F-43m (No. 216); the cell edges are 6.630, 6.630 and 6.630 Å and the angles 90.00°, 90.00° and 90.00°. The distinct sites, in fractional coordinates, are Li at (0.000, 0.000, 0.000), Mg at (0.000, 0.000, 0.500), Hg at (0.250, 0.250, 0.750) and Au at (0.250, 0.250, 0.250).


(3)
Below is TbAl2Zn8Cu after structural relaxation, with properties calculated at the PBE level.

The calculation puts the theoretical density at 6.5 g cm⁻³. The total energy comes out at -2.26 eV per atom. The energy relative to the elements comes out at -63 meV per atom. The value obtained for the total magnetization is 0.00 μB per cell. The value obtained for the density of states at the Fermi level is 0.262 states/eV per atom.

The structure belongs to space group C2/m (No. 12); the cell edges are 7.984, 5.016 and 10.225 Å and the angles 90.00°, 95.03° and 90.00°. The distinct sites, in fractional coordinates, are Tb at (0.000, 0.000, 0.000), Al at (0.165, 0.500, 0.835), Zn at (0.080, 0.246, 0.307), Zn at (0.168, 0.500, 0.539), Zn at (0.181, 0.500, 0.113) and Cu at (0.000, 0.000, 0.500).